(1)
Entry from the Alexandria database: a relaxed NpNbGa crystal (GGA-PBE).

Lattice parameters (Å, degrees): 4.914 4.914 2.606 90.00 90.00 120.00
Positions (direct):
1 Np 0.000 0.000 0.000
2 Nb 0.333 0.667 0.500
3 Ga 0.667 0.333 0.500

Output
Space group = P-6m2, No. 187
Polymorph energy (0 for the lowest one) = 4 meV/atom
Energy = -8.49 eV per atom
DOS at the Fermi energy = 4.46 states/eV/f.u.
DFT formation energy = 0.192 eV/atom



(2)
Entry from the Alexandria database: a relaxed NdDy12Tl3 crystal (GGA-PBE).

Lattice parameters (Å, degrees): 4.865 4.865 19.941 90.00 90.00 90.00
Positions (direct):
1 Nd 0.000 0.000 0.000
2 Dy 0.000 0.500 0.132
3 Dy 0.000 0.500 0.378
4 Dy 0.000 0.500 0.622
5 Dy 0.000 0.500 0.868
6 Dy 0.500 0.000 0.132
7 Dy 0.500 0.000 0.378
8 Dy 0.500 0.000 0.622
9 Dy 0.500 0.000 0.868
10 Dy 0.500 0.500 0.000
11 Dy 0.500 0.500 0.256
12 Dy 0.500 0.500 0.500
13 Dy 0.500 0.500 0.744
14 Tl 0.000 0.000 0.257
15 Tl 0.000 0.000 0.500
16 Tl 0.000 0.000 0.743

Output
Space group = P4/mmm, No. 123
Energy = -4.32 eV per atom
DOS at the Fermi energy = 20.66 states/eV/f.u.
DFT formation energy = -0.123 eV/atom



(3)
Entry from the Alexandria database: a relaxed YFePt2Au crystal (GGA-PBE).

Lattice parameters (Å, degrees): 5.092 5.092 5.282 90.00 90.00 90.00
Positions (direct):
1 Y 0.000 0.000 0.000
2 Fe 0.500 0.500 0.500
3 Pt 0.000 0.500 0.000
4 Pt 0.500 0.000 0.000
5 Au 0.000 0.000 0.500

Output
Space group = P4/mmm, No. 123
Energy = -4.92 eV per atom
DOS at the Fermi energy = 8.57 states/eV/f.u.
DFT formation energy = 1.140 eV/atom



(4)
Entry from the Alexandria database: a relaxed InTcNi2 crystal (GGA-PBE).

Lattice parameters (Å, degrees): 4.600 4.600 4.775 100.66 100.66 34.95
Positions (direct):
1 In 0.000 0.000 0.000
2 Tc 0.762 0.762 0.325
3 Ni 0.247 0.247 0.766
4 Ni 0.506 0.506 0.511

Output
Space group = Cm, No. 8
Energy = -6.03 eV per atom
DOS at the Fermi energy = 3.00 states/eV/f.u.
DFT formation energy = 0.141 eV/atom



(5)
Entry from the Alexandria database: a relaxed TbThInRu crystal (GGA-PBE).

Lattice parameters (Å, degrees): 5.182 5.182 5.182 60.00 60.00 60.00
Positions (direct):
1 Tb 0.000 0.000 0.000
2 Th 0.500 0.500 0.500
3 In 0.750 0.750 0.750
4 Ru 0.250 0.250 0.250

Output
Space group = F-43m, No. 216
Energy = -6.23 eV per atom
DOS at the Fermi energy = 3.67 states/eV/f.u.
DFT formation energy = -0.216 eV/atom



(6)
Entry from the Alexandria database: a relaxed CrRh2Br crystal (GGA-PBE).

Lattice parameters (Å, degrees): 3.584 2.926 7.064 90.00 90.26 90.00
Positions (direct):
1 Cr 0.000 0.000 0.000
2 Rh 0.498 0.500 0.831
3 Rh 0.997 0.000 0.642
4 Br 0.005 0.500 0.286

Output
Space group = Pm, No. 6
Polymorph energy (0 for the lowest one) = 42 meV/atom
Energy = -6.18 eV per atom
DOS at the Fermi energy = 5.09 states/eV/f.u.
Uncorrected formation energy = 0.318 eV/atom



(7)
Entry from the Alexandria database: a relaxed Ba14LiIr crystal (GGA-PBE).

Lattice parameters (Å, degrees): 12.118 8.793 8.793 74.97 90.00 90.00
Positions (direct):
1 Ba 0.000 0.000 0.000
2 Ba 0.000 0.467 0.467
3 Ba 0.000 0.522 0.943
4 Ba 0.000 0.943 0.522
5 Ba 0.229 0.232 0.232
6 Ba 0.303 0.807 0.807
7 Ba 0.322 0.344 0.716
8 Ba 0.322 0.716 0.344
9 Ba 0.500 0.043 0.483
10 Ba 0.500 0.483 0.043
11 Ba 0.678 0.344 0.716
12 Ba 0.678 0.716 0.344
13 Ba 0.697 0.807 0.807
14 Ba 0.771 0.232 0.232
15 Li 0.500 0.037 0.037
16 Ir 0.500 0.657 0.657

Output
Space group = Amm2, No. 38
Energy = -2.32 eV per atom
DOS at the Fermi energy = 22.98 states/eV/f.u.
DFT formation energy = 0.037 eV/atom



(8)
Entry from the Alexandria database: a relaxed TaSiIr2 crystal (GGA-PBE).

Lattice parameters (Å, degrees): 4.654 4.654 4.838 98.94 98.94 35.55
Positions (direct):
1 Ta 0.000 0.000 0.000
2 Si 0.500 0.500 0.500
3 Ir 0.246 0.246 0.740
4 Ir 0.754 0.754 0.260

Output
Space group = C2/m, No. 12
Energy = -9.11 eV per atom
DOS at the Fermi energy = 3.30 states/eV/f.u.
Uncorrected formation energy = -0.362 eV/atom